1.
# PBE LiPr2Cu3Ni12, optimized geometry
# E_form   0.072 eV per atom
# Density   8.035 g/cm³
# Crystal system   trigonal
data_LiPr2Cu3Ni12
_chemical_formula_sum 'Li1 Pr2 Cu3 Ni12'
_cell_length_a 6.296
_cell_length_b 6.296
_cell_length_c 6.296
_cell_angle_alpha 83.16
_cell_angle_beta 83.16
_cell_angle_gamma 83.16
_space_group_name_H-M_alt 'P 1'
_space_group_IT_number 1
loop_
_space_group_symop_operation_xyz
'x,y,z'
loop_
_atom_site_label
_atom_site_type_symbol
_atom_site_fract_x
_atom_site_fract_y
_atom_site_fract_z
Li1 Li 0.000 0.000 0.000
Pr1 Pr 0.288 0.288 0.288
Pr2 Pr 0.712 0.712 0.712
Cu1 Cu 0.000 0.000 0.500
Cu2 Cu 0.000 0.500 0.000
Cu3 Cu 0.500 0.000 0.000
Ni1 Ni 0.146 0.587 0.587
Ni2 Ni 0.195 0.195 0.729
Ni3 Ni 0.195 0.729 0.195
Ni4 Ni 0.271 0.805 0.805
Ni5 Ni 0.413 0.413 0.854
Ni6 Ni 0.413 0.854 0.413
Ni7 Ni 0.587 0.146 0.587
Ni8 Ni 0.587 0.587 0.146
Ni9 Ni 0.729 0.195 0.195
Ni10 Ni 0.805 0.271 0.805
Ni11 Ni 0.805 0.805 0.271
Ni12 Ni 0.854 0.413 0.413



2.
# PBE NpGeRhO6, optimized geometry
# Density   8.057 g/cm³
# Crystal system   trigonal
# Total energy   -7.745 eV/atom
data_NpGeRhO6
_chemical_formula_sum 'Np2 Ge2 Rh2 O12'
_cell_length_a 5.264
_cell_length_b 5.264
_cell_length_c 8.735
_cell_angle_alpha 90.00
_cell_angle_beta 90.00
_cell_angle_gamma 120.00
_space_group_name_H-M_alt 'P 1'
_space_group_IT_number 1
loop_
_space_group_symop_operation_xyz
'x,y,z'
loop_
_atom_site_label
_atom_site_type_symbol
_atom_site_fract_x
_atom_site_fract_y
_atom_site_fract_z
Np1 Np 0.333 0.667 0.250
Np2 Np 0.667 0.333 0.750
Ge1 Ge 0.333 0.667 0.750
Ge2 Ge 0.667 0.333 0.250
Rh1 Rh 0.000 0.000 0.000
Rh2 Rh 0.000 0.000 0.500
O1 O 0.027 0.353 0.628
O2 O 0.027 0.674 0.872
O3 O 0.326 0.353 0.872
O4 O 0.326 0.973 0.628
O5 O 0.353 0.027 0.128
O6 O 0.353 0.326 0.372
O7 O 0.647 0.674 0.628
O8 O 0.647 0.973 0.872
O9 O 0.674 0.027 0.372
O10 O 0.674 0.647 0.128
O11 O 0.973 0.326 0.128
O12 O 0.973 0.647 0.372



3.
# PBE Cs2USe6, optimized geometry
# Density   5.330 g/cm³
# Distance to the lowest polymorph of the same formula   0.064 eV/atom
# Crystal system   triclinic
data_Cs2USe6
_chemical_formula_sum 'Cs2 U1 Se6'
_cell_length_a 4.100
_cell_length_b 8.088
_cell_length_c 10.201
_cell_angle_alpha 66.93
_cell_angle_beta 79.11
_cell_angle_gamma 89.96
_space_group_name_H-M_alt 'P 1'
_space_group_IT_number 1
loop_
_space_group_symop_operation_xyz
'x,y,z'
loop_
_atom_site_label
_atom_site_type_symbol
_atom_site_fract_x
_atom_site_fract_y
_atom_site_fract_z
Cs1 Cs 0.216 0.177 0.139
Cs2 Cs 0.784 0.823 0.861
U1 U 0.000 0.500 0.500
Se1 Se 0.133 0.673 0.185
Se2 Se 0.385 0.643 0.641
Se3 Se 0.397 0.212 0.619
Se4 Se 0.603 0.788 0.381
Se5 Se 0.615 0.357 0.359
Se6 Se 0.867 0.327 0.815



4.
# PBE SrTe2SI, optimized geometry
# Density   3.109 g/cm³
# Distance to the lowest polymorph of the same formula   0.796 eV/atom
# Crystal system   tetragonal
data_SrTe2SI
_chemical_formula_sum 'Sr1 Te2 S1 I1'
_cell_length_a 6.516
_cell_length_b 6.516
_cell_length_c 6.312
_cell_angle_alpha 90.00
_cell_angle_beta 90.00
_cell_angle_gamma 90.00
_space_group_name_H-M_alt 'P 1'
_space_group_IT_number 1
loop_
_space_group_symop_operation_xyz
'x,y,z'
loop_
_atom_site_label
_atom_site_type_symbol
_atom_site_fract_x
_atom_site_fract_y
_atom_site_fract_z
Sr1 Sr 0.000 0.000 0.000
Te1 Te 0.000 0.500 0.000
Te2 Te 0.500 0.000 0.000
S1 S 0.500 0.500 0.500
I1 I 0.000 0.000 0.500



> Look up the density of the fourth one.

3.109 g/cm³



> Among the records above, which one has the highest density?

NpGeRhO6



> Among the records above, which one has the lowest density?

SrTe2SI



> Among the records above, which one has the lowest density?

SrTe2SI